[1]
First-principles (PBE) data for a relaxed ZrInS2 crystal, as listed in Alexandria.

Cell: 7.8910 7.8910 6.4930 Å, 52.58 52.58 90.00°
Closest atoms and distances in Å follow each position.
Positions (direct):
S 0.8339 0.3339 0.0000  2 Zr 2.49
S 0.1661 0.6661 0.0000  2 Zr 2.49
S 0.3339 0.1661 0.0000  2 Zr 2.49
S 0.6661 0.8339 0.0000  2 Zr 2.49
Zr 0.7500 0.2500 0.5000  4 S 2.49
Zr 0.2500 0.7500 0.5000  4 S 2.49
In 0.7500 0.7500 0.5000  2 In 3.32, 8 S 3.38
In 0.2500 0.2500 0.5000  2 In 3.32, 8 S 3.38

Space group   I4/mcm (140)
Theoretical density   4.3 Mg/m³



[2]
First-principles (PBE) data for a relaxed ZrInS2 crystal, as listed in Alexandria.

Cell: 6.6650 6.6650 5.7810 Å, 54.80 54.80 90.00°
Closest atoms and distances in Å follow each position.
Positions (direct):
S 0.7500 0.2500 0.0000  4 In 2.89, 4 Zr 2.89
S 0.2500 0.7500 0.0000  4 In 2.89, 4 Zr 2.89
S 0.2500 0.2500 0.0000  4 In 2.89, 4 Zr 2.89
S 0.7500 0.7500 0.0000  4 In 2.89, 4 Zr 2.89
Zr 0.7500 0.7500 0.5000  8 S 2.89
Zr 0.2500 0.2500 0.5000  8 S 2.89
In 0.7500 0.2500 0.5000  8 S 2.89
In 0.2500 0.7500 0.5000  8 S 2.89

Space group   P4/mmm (123)
Theoretical density   6.0 Mg/m³



[3]
First-principles (PBE) data for a relaxed ZrInS2 crystal, as listed in Alexandria.

Cell: 9.4313 9.4313 9.4313 Å, 23.90 23.90 23.90°
Closest atoms and distances in Å follow each position.
Positions (direct):
S 0.1401 0.1401 0.1401  3 Zr 2.51
S 0.6019 0.6019 0.6019  1 Zr 2.42
Zr 0.5137 0.5137 0.5137  4 S 2.42-2.51
In 0.9953 0.9953 0.9953  3 S 2.79

Space group   R3m (160)
Theoretical density   3.7 Mg/m³



[4]
First-principles (PBE) data for a relaxed ZrInS2 crystal, as listed in Alexandria.

Cell: 14.0663 14.0663 3.8374 Å, 90.00 90.00 166.03°
Closest atoms and distances in Å follow each position.
Positions (direct):
S 0.2137 0.7863 0.2500  5 Zr 2.68-2.78
S 0.7863 0.2137 0.7500  5 Zr 2.68-2.78
S 0.8816 0.1184 0.2500  2 Zr 2.56, 2 In 2.76
S 0.1184 0.8816 0.7500  2 Zr 2.56, 2 In 2.76
Zr 0.3133 0.6867 0.2500  7 S 2.56-2.78
Zr 0.6867 0.3133 0.7500  7 S 2.56-2.78
In 0.0474 0.9526 0.2500  2 S 2.76
In 0.9526 0.0474 0.7500  2 S 2.76

Space group   Cmcm (63)
Theoretical density   4.9 Mg/m³



[5]
First-principles (PBE) data for a relaxed Zr2InS crystal, as listed in Alexandria.

Cell: 3.5785 3.5785 7.8958 Å, 76.90 76.90 60.00°
Closest atoms and distances in Å follow each position.
Positions (direct):
Zr 0.0637 0.0637 0.8089  3 S 2.52
Zr 0.2701 0.2701 0.1897  3 S 2.52
In 0.4993 0.4993 0.5021  6 Zr 3.12-3.15
S 0.6669 0.6669 0.9994  6 Zr 2.52

Space group   R3m (160)
E above lowest polymorph   0.000 eV per atom
Theoretical density   6.5 Mg/m³



[6]
First-principles (PBE) data for a relaxed Zr2InS crystal, as listed in Alexandria.

Cell: 3.6225 3.6225 7.7661 Å, 76.51 76.51 60.00°
Closest atoms and distances in Å follow each position.
Positions (direct):
S 0.0000 0.0000 0.0000  6 Zr 2.52
Zr 0.2708 0.2708 0.1876  3 S 2.52
Zr 0.7292 0.7292 0.8124  3 S 2.52
In 0.5000 0.5000 0.5000  6 Zr 3.14

Space group   R-3m (166)
E above lowest polymorph   0.026 eV per atom
Theoretical density   6.4 Mg/m³



[7]
First-principles (PBE) data for a relaxed ZrInS2 crystal, as listed in Alexandria.

Cell: 9.1923 9.1923 9.1923 Å, 22.57 22.57 22.57°
Closest atoms and distances in Å follow each position.
Positions (direct):
S 0.8904 0.8904 0.8904  3 Zr 2.58
S 0.1096 0.1096 0.1096  3 Zr 2.58
Zr 0.5000 0.5000 0.5000  6 S 2.58
In 0.0000 0.0000 0.0000  2 S 2.95

Space group   R-3m (166)
Theoretical density   4.5 Mg/m³



[8]
First-principles (PBE) data for a relaxed Zr4InS8 crystal, as listed in Alexandria.

Cell: 7.3131 7.3131 8.6775 Å, 65.08 65.08 60.00°
Closest atoms and distances in Å follow each position.
Positions (direct):
Zr 0.0000 0.5000 0.0000  6 S 2.58-2.60
Zr 0.5000 0.5000 0.0000  6 S 2.58-2.60
Zr 0.5000 0.0000 0.0000  6 S 2.58-2.60
Zr 0.0000 0.0000 0.0000  6 S 2.60
In 0.5000 0.5000 0.5000  6 S 3.11
S 0.7332 0.2331 0.8006  3 Zr 2.60
S 0.7669 0.2668 0.1994  3 Zr 2.60
S 0.2668 0.7669 0.1994  3 Zr 2.60
S 0.7669 0.7669 0.1994  3 Zr 2.60
S 0.7317 0.7317 0.8049  3 Zr 2.58
S 0.2683 0.2683 0.1951  3 Zr 2.58
S 0.2331 0.2331 0.8006  3 Zr 2.60
S 0.2331 0.7332 0.8006  3 Zr 2.60

Space group   R-3m (166)
E above lowest polymorph   0.000 eV per atom
Theoretical density   3.5 Mg/m³



[9]
First-principles (PBE) data for a relaxed ZrIn3S6 crystal, as listed in Alexandria.

Cell: 3.7834 12.3093 11.4686 Å, 113.47 90.00 90.00°
Closest atoms and distances in Å follow each position.
Positions (direct):
Zr 0.7500 0.0141 0.6811  8 S 2.69-2.93
Zr 0.2500 0.9859 0.3189  8 S 2.69-2.93
In 0.7500 0.5510 0.9166  3 S 2.55-2.57
In 0.2500 0.4490 0.0834  3 S 2.55-2.57
In 0.7500 0.7089 0.3877  4 S 2.49-2.67
In 0.2500 0.2911 0.6123  4 S 2.49-2.67
In 0.7500 0.2123 0.2131  4 S 2.46-2.49
In 0.2500 0.7877 0.7869  4 S 2.46-2.49
S 0.7500 0.4431 0.6753  3 In 2.55
S 0.2500 0.5569 0.3247  3 In 2.55
S 0.7500 0.9963 0.1548  1 In 2.47, 2 Zr 2.71
S 0.2500 0.0037 0.8452  1 In 2.47, 2 Zr 2.71
S 0.7500 0.2996 0.0540  3 In 2.46-2.57
S 0.2500 0.7004 0.9460  3 In 2.46-2.57
S 0.7500 0.8169 0.2450  1 In 2.49, 2 Zr 2.69
S 0.2500 0.1831 0.7550  1 In 2.49, 2 Zr 2.69
S 0.7500 0.1001 0.4961  3 Zr 2.72, 2 In 2.90
S 0.2500 0.8999 0.5039  3 Zr 2.72, 2 In 2.90
S 0.7500 0.7623 0.6370  3 In 2.49-2.67
S 0.2500 0.2377 0.3630  3 In 2.49-2.67

Space group   P2_1/m (11)
Theoretical density   4.3 Mg/m³



[10]
First-principles (PBE) data for a relaxed ZrInS2 crystal, as listed in Alexandria.

Cell: 6.4963 7.8094 8.3895 Å, 90.00 90.00 90.00°
Closest atoms and distances in Å follow each position.
Positions (direct):
S 0.5406 0.9375 0.2515  2 Zr 2.42-2.54
S 0.4594 0.0625 0.7515  2 Zr 2.42-2.54
S 0.9594 0.4375 0.7515  2 Zr 2.42-2.54
S 0.0406 0.5625 0.2515  2 Zr 2.42-2.54
S 0.9731 0.8690 0.5832  2 Zr 2.50-2.51
S 0.0269 0.1310 0.0832  2 Zr 2.50-2.51
S 0.5269 0.3690 0.0832  2 Zr 2.50-2.51
S 0.4731 0.6310 0.5832  2 Zr 2.50-2.51
Zr 0.1587 0.4226 0.0112  4 S 2.42-2.54
Zr 0.8413 0.5774 0.5112  4 S 2.42-2.54
Zr 0.3413 0.9226 0.5112  4 S 2.42-2.54
Zr 0.6587 0.0774 0.0112  4 S 2.42-2.54
In 0.9402 0.7667 0.9039  2 S 2.81-2.87
In 0.0598 0.2333 0.4039  2 S 2.81-2.87
In 0.5598 0.2667 0.4039  2 S 2.81-2.87
In 0.4402 0.7333 0.9039  2 S 2.81-2.87

Space group   Pna2_1 (33)
Theoretical density   4.2 Mg/m³



[11]
First-principles (PBE) data for a relaxed ZrInS2 crystal, as listed in Alexandria.

Cell: 8.7099 8.7099 8.7099 Å, 24.78 24.78 24.78°
Closest atoms and distances in Å follow each position.
Positions (direct):
S 0.1610 0.1610 0.1610  3 In 2.53
S 0.6312 0.6312 0.6312  3 Zr 2.53
Zr 0.0169 0.0169 0.0169  3 S 2.53
In 0.4419 0.4419 0.4419  3 S 2.53

Space group   R3m (160)
Theoretical density   4.4 Mg/m³



[12]
First-principles (PBE) data for a relaxed ZrInS2 crystal, as listed in Alexandria.

Cell: 3.5953 3.5953 8.7315 Å, 90.00 90.00 120.00°
Closest atoms and distances in Å follow each position.
Positions (direct):
S 0.3333 0.6667 0.8144  3 Zr 2.58
S 0.6667 0.3333 0.1673  3 Zr 2.59
Zr 0.0000 0.0000 0.9905  6 S 2.58-2.59
In 0.3333 0.6667 0.4828  1 S 2.89

Space group   P3m1 (156)
Theoretical density   4.6 Mg/m³



no.,magnetization (Bohr magnetons per cell),uncorrected formation energy (eV/atom),electronic total energy (eV/f.u.)
1,0.0,-0.8268,-22.849
2,0.0,-0.5401,-21.702
3,0.8,-0.7814,-22.667
4,0.0,-1.0363,-23.687
5,0.0,-0.8891,-27.519
6,0.0,-0.8633,-27.415
7,0.0,-1.1201,-24.022
8,0.0,-1.4219,-88.435
9,0.0,-0.7456,-48.984
10,0.0,-0.8350,-22.881
11,0.0,-0.7547,-22.560
12,0.0,-1.1134,-23.995